Density functional theory data (PBE-GGA) for a geometry-optimized Ac7LaPr3 structure.

Structure (CIF):
```
data_Ac7LaPr3
_space_group_name_H-M_alt 'C 1 2/m 1'
_space_group_IT_number 12
_space_group_name_Hall '-C 2y'
_cell_length_a 13.416
_cell_length_b 12.498
_cell_length_c 6.492
_cell_angle_alpha 90.00
_cell_angle_beta 118.83
_cell_angle_gamma 90.00
loop_
_atom_site_label
_atom_site_type_symbol
_atom_site_fract_x
_atom_site_fract_y
_atom_site_fract_z
_atom_site_occupancy
Ac1 Ac 0.000 0.000 0.000 1
Ac2 Ac 0.193 0.295 0.693 1
Ac3 Ac 0.203 0.500 0.202 1
La1 La 0.000 0.000 0.500 1
Pr1 Pr 0.000 0.290 0.000 1
Pr2 Pr 0.000 0.500 0.500 1
```

Values from the calculation:
Energy relative to the lowest polymorph listed for this composition   0 meV/atom

***

Density functional theory data (PBE-GGA) for a geometry-optimized Ac2La3Pr4 structure.

Structure (CIF):
```
data_Ac2La3Pr4
_space_group_name_H-M_alt 'C 1 2/m 1'
_space_group_IT_number 12
_space_group_name_Hall '-C 2y'
_cell_length_a 16.413
_cell_length_b 3.802
_cell_length_c 11.367
_cell_angle_alpha 90.00
_cell_angle_beta 102.98
_cell_angle_gamma 90.00
loop_
_atom_site_label
_atom_site_type_symbol
_atom_site_fract_x
_atom_site_fract_y
_atom_site_fract_z
_atom_site_occupancy
Ac1 Ac 0.167 0.000 0.223 1
La1 La 0.000 0.500 0.000 1
La2 La 0.164 0.000 0.554 1
Pr1 Pr 0.002 0.500 0.667 1
Pr2 Pr 0.165 0.000 0.889 1
```

Values from the calculation:
Energy relative to the lowest polymorph listed for this composition   0 meV/atom

***

Density functional theory data (PBE-GGA) for a geometry-optimized AcLa3Pr2 structure.

Structure (CIF):
```
data_AcLa3Pr2
_space_group_name_H-M_alt 'C 1 2/c 1'
_space_group_IT_number 15
_space_group_name_Hall '-C 2yc'
_cell_length_a 10.659
_cell_length_b 7.554
_cell_length_c 12.516
_cell_angle_alpha 90.00
_cell_angle_beta 115.13
_cell_angle_gamma 90.00
loop_
_atom_site_label
_atom_site_type_symbol
_atom_site_fract_x
_atom_site_fract_y
_atom_site_fract_z
_atom_site_occupancy
Ac1 Ac 0.000 0.124 0.250 1
La1 La 0.000 0.376 0.750 1
La2 La 0.165 0.375 0.080 1
Pr1 Pr 0.167 0.125 0.584 1
```

Values from the calculation:
Energy relative to the lowest polymorph listed for this composition   0 meV/atom

***

Density functional theory data (PBE-GGA) for a geometry-optimized Ac6LaPr5 structure.

Structure (CIF):
```
data_Ac6LaPr5
_space_group_name_H-M_alt 'I m m m'
_space_group_IT_number 71
_space_group_name_Hall '-I 2 2'
_cell_length_a 5.512
_cell_length_b 10.723
_cell_length_c 16.439
_cell_angle_alpha 90.00
_cell_angle_beta 90.00
_cell_angle_gamma 90.00
loop_
_atom_site_label
_atom_site_type_symbol
_atom_site_fract_x
_atom_site_fract_y
_atom_site_fract_z
_atom_site_occupancy
Ac1 Ac 0.000 0.249 0.000 1
Ac2 Ac 0.000 0.251 0.333 1
La1 La 0.000 0.000 0.500 1
Pr1 Pr 0.000 0.000 0.167 1
Pr2 Pr 0.000 0.500 0.167 1
Pr3 Pr 0.000 0.500 0.500 1
```

***

Density functional theory data (PBE-GGA) for a geometry-optimized Ac3La3Pr2 structure.

Structure (CIF):
```
data_Ac3La3Pr2
_space_group_name_H-M_alt 'P m m m'
_space_group_IT_number 47
_space_group_name_Hall '-P 2 2'
_cell_length_a 5.413
_cell_length_b 5.420
_cell_length_c 10.736
_cell_angle_alpha 90.00
_cell_angle_beta 90.00
_cell_angle_gamma 90.00
loop_
_atom_site_label
_atom_site_type_symbol
_atom_site_fract_x
_atom_site_fract_y
_atom_site_fract_z
_atom_site_occupancy
Ac1 Ac 0.000 0.000 0.000 1
Ac2 Ac 0.000 0.000 0.500 1
Ac3 Ac 0.500 0.500 0.000 1
La1 La 0.000 0.500 0.254 1
La2 La 0.500 0.500 0.500 1
Pr1 Pr 0.500 0.000 0.254 1
```

Values from the calculation:
Energy relative to the lowest polymorph listed for this composition   0 meV/atom

***

Density functional theory data (PBE-GGA) for a geometry-optimized Ac3La8Pr3 structure.

Structure (CIF):
```
data_Ac3La8Pr3
_space_group_name_H-M_alt 'I m m m'
_space_group_IT_number 71
_space_group_name_Hall '-I 2 2'
_cell_length_a 5.941
_cell_length_b 11.440
_cell_length_c 15.902
_cell_angle_alpha 90.00
_cell_angle_beta 90.00
_cell_angle_gamma 90.00
loop_
_atom_site_label
_atom_site_type_symbol
_atom_site_fract_x
_atom_site_fract_y
_atom_site_fract_z
_atom_site_occupancy
Ac1 Ac 0.000 0.000 0.000 1
Ac2 Ac 0.000 0.313 0.000 1
La1 La 0.000 0.158 0.229 1
La2 La 0.000 0.336 0.395 1
Pr1 Pr 0.000 0.000 0.500 1
Pr2 Pr 0.000 0.500 0.188 1
```

***

| no. | DFT formation energy (meV per atom) |
| --- | --- |
| 1 | 224 |
| 2 | 21 |
| 3 | 22 |
| 4 | 20 |
| 5 | 13 |
| 6 | 94 |